Compound: BaPdO2
Source: Alexandria
Functional: PBE
Structure: optimized geometry

a = 6.3339 Å, b = 6.3339 Å, c = 6.3339 Å
α = 90.00°, β = 90.00°, γ = 90.00°
Last column: nearest neighbours and their distance in Å.
Space group Fm-3m (No. 225)
Inequivalent atoms, fractional coordinates:
1 Ba 0.0000 0.0000 0.0000 [4 per cell]  8 O 2.74
2 Pd 0.0000 0.0000 0.5000 [4 per cell]  8 O 2.74
3 O 0.2500 0.2500 0.2500 [8 per cell]  4 Pd 2.74, 4 Ba 2.74

E_form (uncorrected) in eV per atom: -0.819
E in eV/atom: -5.08

Compound: Ba4PdO5
Source: Alexandria
Functional: PBE
Structure: optimized geometry

a = 8.5035 Å, b = 8.5035 Å, c = 5.5829 Å
α = 90.00°, β = 90.00°, γ = 90.00°
Last column: nearest neighbours and their distance in Å.
Space group I4 (No. 79)
Inequivalent atoms, fractional coordinates:
1 Ba 0.1058 0.7057 0.0000 [8 per cell]  6 O 2.65-2.89
2 Pd 0.0000 0.0000 0.5270 [2 per cell]  1 O 2.19
3 O 0.0000 0.0000 0.9198 [2 per cell]  1 Pd 2.19
4 O 0.0926 0.7141 0.4951 [8 per cell]  1 Pd 2.56, 4 Ba 2.65-2.82

E_form (uncorrected) in eV per atom: -1.895
E in eV/atom: -5.66

Compound: Ba3Pd2O7
Source: Alexandria
Functional: PBE
Structure: optimized geometry

a = 4.1602 Å, b = 4.1602 Å, c = 21.3296 Å
α = 90.00°, β = 90.00°, γ = 90.00°
Last column: nearest neighbours and their distance in Å.
Space group I4/mmm (No. 139)
Inequivalent atoms, fractional coordinates:
1 Ba 0.0000 0.0000 0.0000 [2 per cell]  12 O 2.91-2.94
2 Ba 0.0000 0.0000 0.1813 [4 per cell]  9 O 2.70-2.95
3 Pd 0.0000 0.0000 0.4028 [4 per cell]  6 O 2.02-2.08
4 O 0.0000 0.0000 0.3080 [4 per cell]  1 Pd 2.02
5 O 0.0000 0.0000 0.5000 [2 per cell]  2 Pd 2.07
6 O 0.0000 0.5000 0.0954 [8 per cell]  2 Pd 2.08

E_form (uncorrected) in eV per atom: -1.541
E in eV/atom: -5.78

Compound: BaPdO
Source: Alexandria
Functional: PBE
Structure: optimized geometry

a = 4.6043 Å, b = 4.6043 Å, c = 8.3157 Å
α = 90.00°, β = 90.00°, γ = 120.00°
Last column: nearest neighbours and their distance in Å.
Space group P6_3/mmc (No. 194)
Inequivalent atoms, fractional coordinates:
1 Ba 0.3333 0.6667 0.2500 [2 per cell]  3 O 2.66
2 Pd 0.0000 0.0000 0.0000 [2 per cell]  2 O 2.08
3 O 0.0000 0.0000 0.2500 [2 per cell]  2 Pd 2.08

E_form (uncorrected) in eV per atom: -1.344
E in eV/atom: -5.37